CeB2Rh7, optimized geometry, DFT PBE; VASP energy = -7.227 eV per atom; ΔH_f (0 K) = -1.52 eV/f.u.
1.0
3.506 -5.289 0.000
3.506 5.289 0.000
0.000 0.000 4.118
Ce B Rh
1 2 7
Direct
0.000 0.000 0.000
0.296 0.704 0.500
0.704 0.296 0.500
0.056 0.323 0.500
0.304 0.696 0.000
0.323 0.056 0.500
0.500 0.500 0.500
0.677 0.944 0.500
0.696 0.304 0.000
0.944 0.677 0.500

=====

Sm3Cu8Ni3, optimized geometry, DFT PBE; VASP energy = -4.791 eV per atom; ΔH_f (0 K) = -2.81 eV/f.u.
1.0
-2.069 4.489 6.003
2.069 -4.489 6.003
2.069 4.489 -6.003
Sm Cu Ni
3 8 3
Direct
0.000 0.000 0.000
0.314 0.314 0.000
0.686 0.686 0.000
0.027 0.672 0.355
0.161 0.883 0.277
0.317 0.672 0.645
0.394 0.117 0.277
0.606 0.883 0.723
0.683 0.328 0.355
0.839 0.117 0.723
0.973 0.328 0.645
0.304 0.500 0.804
0.500 0.000 0.500
0.696 0.500 0.196

=====

Na2SrCl4, optimized geometry, DFT PBE; VASP energy = -3.746 eV per atom; uncorrected formation energy = -2.07 eV per atom; relative energy among the computed polymorphs = 0.000 eV per atom
1.0
2.020 -6.661 0.000
2.020 6.661 0.000
0.000 0.000 13.497
Na Sr Cl
4 2 8
Direct
0.127 0.873 0.563
0.127 0.873 0.937
0.873 0.127 0.063
0.873 0.127 0.437
0.381 0.619 0.750
0.619 0.381 0.250
0.037 0.963 0.750
0.222 0.778 0.121
0.222 0.778 0.379
0.500 0.500 0.000
0.500 0.500 0.500
0.778 0.222 0.621
0.778 0.222 0.879
0.963 0.037 0.250